# 1
Below is TeP2PtS after structural relaxation, with properties calculated at the PBE level.

Computed properties:
excess energy over the best structure of this formula in the dataset	0	meV per atom

Cell: 4.672 4.672 4.850 Å, 90.00 90.00 90.00°
Element x y z (fractional)
S 0.000 0.000 0.500
Te 0.500 0.500 0.500
P 0.500 0.000 0.000
P 0.000 0.500 0.000
Pt 0.000 0.000 0.000


# 2
Below is TePPtS2 after structural relaxation, with properties calculated at the PBE level.

Computed properties:
excess energy over the best structure of this formula in the dataset	0	meV per atom

Cell: 4.795 4.795 4.598 Å, 90.00 90.00 90.00°
Element x y z (fractional)
Te 0.500 0.500 0.500
S 0.000 0.500 0.000
Pt 0.000 0.000 0.000
S 0.500 0.000 0.000
P 0.000 0.000 0.500